A relaxed structure of Y3AlNi8, computed with PBE.

Results
As for the symmetry: No. 194. The value obtained for the relative energy among the computed polymorphs is 0 meV per atom. The magnetization is 0.01 μB/f.u.

Cell lengths 5.0584, 5.0584, 16.4182 Å; angles 90.00, 90.00, 120.00 degrees
Fractional coordinates of all 24 atoms:
Y 0.0000 0.0000 0.2500
Y 0.0000 0.0000 0.7500
Y 0.3333 0.6667 0.0478
Y 0.3333 0.6667 0.4522
Y 0.6667 0.3333 0.5478
Y 0.6667 0.3333 0.9522
Al 0.3333 0.6667 0.2500
Al 0.6667 0.3333 0.7500
Ni 0.0000 0.0000 0.0000
Ni 0.0000 0.0000 0.5000
Ni 0.1742 0.3484 0.6184
Ni 0.1742 0.3484 0.8816
Ni 0.1742 0.8258 0.6184
Ni 0.1742 0.8258 0.8816
Ni 0.3333 0.6667 0.7500
Ni 0.3484 0.1742 0.1184
Ni 0.3484 0.1742 0.3816
Ni 0.6516 0.8258 0.6184
Ni 0.6516 0.8258 0.8816
Ni 0.6667 0.3333 0.2500
Ni 0.8258 0.1742 0.1184
Ni 0.8258 0.1742 0.3816
Ni 0.8258 0.6516 0.1184
Ni 0.8258 0.6516 0.3816